Record 1
Density functional theory data (PBE) for a relaxed KTeRu2I crystal.

## Properties
Uncorrected formation energy: 2250 meV per atom
Magnetic moment: 4.64 μB/f.u.
Space group: P4/mmm (123)

```
5
Lattice="-5.073 -0.201 0.315 0.166 -5.876 -1.082 0.346 -0.910 4.992" Properties=species:S:1:pos:R:3 pbc="T T T"
Ru -2.536 -0.101 0.158
Ru 0.173 -0.455 2.496
K 0.000 0.000 0.000
I -2.280 -3.493 2.113
Te 0.083 -2.938 -0.541
```


Record 2
Density functional theory data (PBE) for a relaxed KTeRuI2 crystal.

## Properties
Uncorrected formation energy: 1151 meV per atom
Magnetic moment: 5.06 μB/f.u.
Space group: P4/mmm (123)

```
5
Lattice="6.301 0.000 0.000 0.000 6.301 0.000 0.000 0.000 6.265" Properties=species:S:1:pos:R:3 pbc="T T T"
Te 0.000 0.000 3.133
I 3.150 0.000 0.000
I 0.000 3.150 0.000
Ru 3.150 3.150 3.133
K 0.000 0.000 0.000
```


Record 3
Density functional theory data (PBE) for a relaxed KTeRu2I crystal.

## Properties
Uncorrected formation energy: 1117 meV per atom
Magnetic moment: 3.71 μB/f.u.
Space group: P4/mmm (123)

```
5
Lattice="5.003 0.000 0.000 0.000 6.115 0.000 0.000 0.000 5.003" Properties=species:S:1:pos:R:3 pbc="T T T"
Ru 2.501 0.000 0.000
Ru 0.000 0.000 2.501
Te 2.501 3.057 2.501
I 0.000 0.000 0.000
K 0.000 3.057 0.000
```


| no. | D(E_F) (states/eV/cell) | energy above the lowest structure with this stoichiometry (meV per atom) |
| --- | --- | --- |
| 1 | 7.60 | 1132 |
| 2 | 7.81 | 1412 |
| 3 | 5.58 | 0 |